Record 1
## FeAsPt3 (GGA-PBE)

Data for a geometry-optimized FeAsPt3 structure.

a = 4.6389 Å, b = 4.6389 Å, c = 4.6389 Å
α = 90.00°, β = 90.00°, γ = 90.00°
Space group Pm-3m (No. 221)
Asymmetric unit:
Fe  0.0000  0.0000  0.0000 (multiplicity 1)
As  0.5000  0.5000  0.5000 (multiplicity 1)
Pt  0.0000  0.5000  0.5000 (multiplicity 3)

- offset from the most stable computed form (meV/atom) = 0
- DFT total energy (eV per atom) = -5.542
- formation energy (kJ per mole of atoms) = 68

---

Record 2
## FeAsPt2 (GGA-PBE)

Data for a geometry-optimized FeAsPt2 structure.

a = 2.8649 Å, b = 2.8649 Å, c = 26.1293 Å
α = 90.00°, β = 90.00°, γ = 120.00°
Space group R-3m (No. 166, hexagonal axes)
Asymmetric unit:
Fe  0.0000  0.0000  0.0000 (multiplicity 3)
As  0.0000  0.0000  0.5000 (multiplicity 3)
Pt  0.0000  0.0000  0.2534 (multiplicity 6)

- DFT total energy (eV per atom) = -6.319
- formation energy (kJ per mole of atoms) = -2

---

Record 3
## FeAsPt2 (GGA-PBE)

Data for a geometry-optimized FeAsPt2 structure.

a = 5.5187 Å, b = 7.7185 Å, c = 2.8843 Å
α = 90.00°, β = 90.00°, γ = 90.00°
Space group Cmmm (No. 65)
Asymmetric unit:
Fe  0.0000  0.0000  0.0000 (multiplicity 2)
As  0.0000  0.5000  0.0000 (multiplicity 2)
Pt  0.2500  0.2500  0.5000 (multiplicity 4)

- DFT total energy (eV per atom) = -6.333
- formation energy (kJ per mole of atoms) = -3

---

Record 4
## FeAsPt2 (GGA-PBE)

Data for a geometry-optimized FeAsPt2 structure.

a = 3.6020 Å, b = 4.0329 Å, c = 8.4173 Å
α = 90.00°, β = 90.00°, γ = 90.00°
Space group Immm (No. 71)
Asymmetric unit:
Fe  0.0000  0.0000  0.0000 (multiplicity 2)
As  0.0000  0.0000  0.5000 (multiplicity 2)
Pt  0.0000  0.5000  0.2222 (multiplicity 4)

- DFT total energy (eV per atom) = -6.353
- formation energy (kJ per mole of atoms) = -5